one) DFT (PBE) results for a geometry-optimized AcSi2Pd3 structure.

Results
M_tot, μB per atom: 0.000

Cell: 8.6873 8.6873 7.8558 Å, 116.84 116.84 27.79°
Sites, in units of the cell vectors:
Ac  0.1639  0.1639  0.1634
Ac  0.8361  0.8361  0.8366
Si  0.1361  0.1361  0.6360
Si  0.5001  0.5001  0.1491
Si  0.4999  0.4999  0.8509
Si  0.8639  0.8639  0.3640
Pd  0.0001  0.0001  0.3156
Pd  0.9999  0.9999  0.6844
Pd  0.3674  0.3674  0.5409
Pd  0.3677  0.3677  0.1946
Pd  0.6323  0.6323  0.8054
Pd  0.6326  0.6326  0.4591

***

two) DFT (PBE) results for a geometry-optimized AcSi2Pd3 structure.

Results
M_tot, μB per atom: 0.000

Cell: 8.2098 8.2098 7.5559 Å, 113.63 113.63 29.30°
Sites, in units of the cell vectors:
Ac  0.1576  0.1576  0.0731
Ac  0.8424  0.8424  0.9269
Si  0.1803  0.1803  0.6504
Si  0.4814  0.4814  0.8271
Si  0.5186  0.5186  0.1729
Si  0.8197  0.8197  0.3496
Pd  0.0392  0.0392  0.3538
Pd  0.3178  0.3178  0.5693
Pd  0.4050  0.4050  0.3174
Pd  0.5950  0.5950  0.6826
Pd  0.6822  0.6822  0.4307
Pd  0.9608  0.9608  0.6462

***

two) is preferred energetically. Next in line: 9.3 kJ/mol of atoms higher.

***

one) DFT (PBE) results for a geometry-optimized AcSi2Pd4 structure.

Results
M_tot, μB per atom: 0.000

Cell: 6.9491 6.9491 4.4343 Å, 90.00 90.00 142.85°
Sites, in units of the cell vectors:
Ac  0.0000  0.0000  0.0000
Si  0.3981  0.6019  0.5000
Si  0.6019  0.3981  0.5000
Pd  0.1813  0.8187  0.5000
Pd  0.3210  0.6790  0.0000
Pd  0.6790  0.3210  0.0000
Pd  0.8187  0.1813  0.5000

***

two) DFT (PBE) results for a geometry-optimized AcSi2Pd4 structure.

Results
M_tot, μB per atom: 0.000

Cell: 18.8068 4.1067 6.7696 Å, 90.00 90.00 90.00°
Sites, in units of the cell vectors:
Ac  0.1390  0.2500  0.0167
Ac  0.3610  0.7500  0.5167
Ac  0.6390  0.2500  0.4833
Ac  0.8610  0.7500  0.9833
Si  0.0385  0.7500  0.7317
Si  0.2009  0.2500  0.4656
Si  0.2991  0.7500  0.9656
Si  0.4615  0.2500  0.2317
Si  0.5385  0.7500  0.7683
Si  0.7009  0.2500  0.0344
Si  0.7991  0.7500  0.5344
Si  0.9615  0.2500  0.2683
Pd  0.0166  0.7500  0.1367
Pd  0.0615  0.2500  0.5013
Pd  0.1633  0.7500  0.6387
Pd  0.2305  0.7500  0.2701
Pd  0.2695  0.2500  0.7701
Pd  0.3367  0.2500  0.1387
Pd  0.4385  0.7500  0.0013
Pd  0.4834  0.2500  0.6367
Pd  0.5166  0.7500  0.3633
Pd  0.5615  0.2500  0.9987
Pd  0.6633  0.7500  0.8613
Pd  0.7305  0.7500  0.2299
Pd  0.7695  0.2500  0.7299
Pd  0.8367  0.2500  0.3613
Pd  0.9385  0.7500  0.4987
Pd  0.9834  0.2500  0.8633

***

one) is preferred energetically. Next in line: 1.0 kJ/mol of atoms higher.

***

one) DFT (PBE) results for a geometry-optimized AcSi3Pd structure.

Results
M_tot, μB per atom: 0.000

Cell: 11.4218 11.4218 4.3368 Å, 90.00 90.00 158.61°
Sites, in units of the cell vectors:
Ac  0.1680  0.8320  0.0000
Ac  0.8320  0.1680  0.0000
Si  0.0520  0.9480  0.5000
Si  0.2799  0.7201  0.5000
Si  0.4478  0.5522  0.0000
Si  0.5522  0.4478  0.0000
Si  0.7201  0.2799  0.5000
Si  0.9480  0.0520  0.5000
Pd  0.3940  0.6060  0.5000
Pd  0.6060  0.3940  0.5000

***

two) DFT (PBE) results for a geometry-optimized AcSi3Pd structure.

Results
M_tot, μB per atom: 0.000

Cell: 5.8158 5.8158 5.8158 Å, 134.91 134.91 65.67°
Sites, in units of the cell vectors:
Ac  0.0000  0.0000  0.0000
Si  0.2570  0.7570  0.5000
Si  0.3846  0.3846  0.0000
Si  0.7570  0.2570  0.5000
Pd  0.6438  0.6438  0.0000

***

two) is preferred energetically. Next in line: 11.7 kJ/mol of atoms higher.

***

one) DFT (PBE) results for a geometry-optimized SrAcSiPd structure.

Results
M_tot, μB per atom: 0.000

Cell: 5.3774 5.3774 5.3774 Å, 60.00 60.00 60.00°
Sites, in units of the cell vectors:
Sr  0.0000  0.0000  0.0000
Ac  0.5000  0.5000  0.5000
Si  0.7500  0.7500  0.7500
Pd  0.2500  0.2500  0.2500

***

two) DFT (PBE) results for a geometry-optimized SrAcSiPd structure.

Results
M_tot, μB per atom: 0.000

Cell: 8.3931 8.3931 8.3931 Å, 30.26 30.26 30.26°
Sites, in units of the cell vectors:
Sr  0.0000  0.0000  0.0000
Ac  0.8327  0.8327  0.8327
Si  0.2451  0.2451  0.2451
Pd  0.5839  0.5839  0.5839

***

two) is preferred energetically. Next in line: 12.7 kJ/mol of atoms higher.